# GGA-PBE Tm2ThPaSb4, optimized geometry
data_Tm2ThPaSb4
_cell_length_a 7.583
_cell_length_b 4.392
_cell_length_c 7.615
_cell_angle_alpha 90.00
_cell_angle_beta 109.52
_cell_angle_gamma 90.00
_space_group_name_H-M_alt 'P 1 2/m 1'
_space_group_IT_number 10
_space_group_name_Hall '-P 2y'
loop_
_atom_site_label
_atom_site_fract_x
_atom_site_fract_y
_atom_site_fract_z
_atom_site_occupancy
Tm1 0.000 0.000 0.000 1
Tm2 0.000 0.500 0.500 1
Th1 0.500 0.000 0.500 1
Pa1 0.500 0.500 0.000 1
Sb1 0.240 0.500 0.242 1
Sb2 0.242 0.000 0.751 1
# raw total energy = -6.15 eV/atom
# formation energy without anion corrections = -855 meV/atom
# total magnetic moment = 1.10 μB per cell